No. 1
Here is a relaxed structure of DyMnAl4 from Alexandria via LeMat-Bulk. Energies are from PBE.

Cell lengths 7.9899, 14.4521, 4.8017 Å; angles 90.00, 126.88, 90.00 degrees
Closest atoms and distances in Å follow each position.
Space group C2/m (No. 12)
One atom of each set of equivalent atoms:
Dy (0.0000, 0.2118, 0.0000) x4  12 Al 3.13-3.32
Mn (0.0002, 0.5000, 0.2246) x4  1 Mn 2.15, 2 Al 2.39
Al (0.0000, 0.3509, 0.5000) x4  2 Mn 2.53
Al (0.1890, 0.0000, 0.1898) x4  2 Mn 2.39, 1 Al 2.42
Al (0.2309, 0.1051, 0.7316) x8  2 Mn 2.54

Summary:
The value obtained for the formation energy from the elements is -0.22 eV per atom. The value obtained for the uncorrected energy is -5.0057 eV/atom. For the size of the total moment, the calculation gives 0.000 μB/atom.

No. 2
Here is a relaxed structure of DyMn2Al from Alexandria via LeMat-Bulk. Energies are from PBE.

Cell lengths 6.4206, 6.4206, 6.4206 Å; angles 90.00, 90.00, 90.00 degrees
Closest atoms and distances in Å follow each position.
Space group Fm-3m (No. 225)
One atom of each set of equivalent atoms:
Dy (0.0000, 0.0000, 0.0000) x4  8 Mn 2.78
Mn (0.2500, 0.2500, 0.2500) x8  4 Dy 2.78, 4 Al 2.78
Al (0.0000, 0.0000, 0.5000) x4  8 Mn 2.78

Summary:
The value obtained for the formation energy from the elements is 0.07 eV per atom. The value obtained for the uncorrected energy is -6.6032 eV/atom. For the size of the total moment, the calculation gives 1.170 μB/atom.

No. 3
Here is a relaxed structure of NdDyMnAl from Alexandria via LeMat-Bulk. Energies are from PBE.

Cell lengths 7.3012, 7.3012, 7.3012 Å; angles 90.00, 90.00, 90.00 degrees
Closest atoms and distances in Å follow each position.
Space group F-43m (No. 216)
One atom of each set of equivalent atoms:
Nd (0.0000, 0.0000, 0.0000) x4  4 Mn 3.16, 4 Al 3.16
Dy (0.0000, 0.0000, 0.5000) x4  4 Mn 3.16, 4 Al 3.16
Mn (0.2500, 0.2500, 0.7500) x4  4 Dy 3.16, 4 Nd 3.16
Al (0.2500, 0.2500, 0.2500) x4  4 Dy 3.16, 4 Nd 3.16

Summary:
The value obtained for the formation energy from the elements is -0.03 eV per atom. The value obtained for the uncorrected energy is -5.6042 eV/atom. For the size of the total moment, the calculation gives 0.815 μB/atom.

- What is the formula in the third record?
  NdDyMnAl

- The highest uncorrected energy belongs to which entry?
  DyMnAl4